# 1
Below is a geometry-optimized LiIn4Sn structure, with properties calculated at the PBE level.

Summary:
**Offset from the most stable computed form**: 58 meV/atom
**E_form**: -0.014 eV per atom
**Symmetry**: No. 123

Lattice parameters (Å, degrees): 4.6841 4.6860 7.4728 90.00 90.00 89.99
Atoms (fractional coordinates):
Li (0.0013, 0.9973, 0.4982)
In (0.5013, 0.9971, 0.2733)
In (0.5013, 0.9973, 0.7228)
In (0.0013, 0.4974, 0.7227)
In (0.0013, 0.4972, 0.2734)
Sn (0.5013, 0.4973, 0.9983)


# 2
Below is a geometry-optimized ZnCd2Ga2 structure, with properties calculated at the PBE level.

Summary:
**Offset from the most stable computed form**: 164 meV/atom
**E_form**: 0.209 eV per atom
**Symmetry**: No. 139

Lattice parameters (Å, degrees): 4.2346 4.2346 6.8809 72.08 72.08 90.00
Atoms (fractional coordinates):
Zn (0.0000, 0.0000, 0.0000)
Ga (0.4014, 0.4014, 0.1972)
Ga (0.5986, 0.5986, 0.8028)
Cd (0.7500, 0.2500, 0.5000)
Cd (0.2500, 0.7500, 0.5000)


# 3
Below is a geometry-optimized Pu2ZnAs3Rh4 structure, with properties calculated at the PBE level.

Summary:
**E_form**: -0.673 eV per atom
**Symmetry**: No. 115

Lattice parameters (Å, degrees): 4.1273 4.1273 10.5247 90.00 90.00 90.00
Atoms (fractional coordinates):
Pu (0.5000, 0.0000, 0.2555)
Pu (0.0000, 0.5000, 0.7445)
Zn (0.5000, 0.5000, 0.5000)
As (0.0000, 0.0000, 0.5000)
As (0.5000, 0.0000, 0.8651)
As (0.0000, 0.5000, 0.1349)
Rh (0.5000, 0.5000, 0.0000)
Rh (0.0000, 0.0000, 0.0000)
Rh (0.5000, 0.0000, 0.6370)
Rh (0.0000, 0.5000, 0.3630)


# 4
Below is a geometry-optimized UInRhO6 structure, with properties calculated at the PBE level.

Summary:
**E_form (uncorrected)**: -16.5 eV/f.u.
**Symmetry**: No. 163

Lattice parameters (Å, degrees): 5.4565 5.4565 8.8461 90.00 90.00 120.00
Atoms (fractional coordinates):
U (0.6667, 0.3333, 0.2500)
U (0.3333, 0.6667, 0.7500)
In (0.3333, 0.6667, 0.2500)
In (0.6667, 0.3333, 0.7500)
Rh (0.0000, 0.0000, 0.0000)
Rh (0.0000, 0.0000, 0.5000)
O (0.6843, 0.6694, 0.1242)
O (0.9851, 0.3157, 0.1242)
O (0.3157, 0.9851, 0.6242)
O (0.0149, 0.6843, 0.8758)
O (0.3306, 0.3157, 0.3758)
O (0.9851, 0.6694, 0.3758)
O (0.6694, 0.9851, 0.8758)
O (0.6843, 0.0149, 0.3758)
O (0.0149, 0.3306, 0.6242)
O (0.3306, 0.0149, 0.1242)
O (0.6694, 0.6843, 0.6242)
O (0.3157, 0.3306, 0.8758)


# 5
Below is a geometry-optimized Nd12Al2In5 structure, with properties calculated at the PBE level.

Summary:
**E_form**: -0.176 eV per atom
**Symmetry**: No. 12

Lattice parameters (Å, degrees): 8.6041 9.0909 8.7021 82.45 90.00 118.24
Atoms (fractional coordinates):
Nd (0.9513, 0.9026, 0.1628)
Nd (0.0288, 0.6737, 0.8547)
Nd (0.6449, 0.6737, 0.8547)
Nd (0.1299, 0.7198, 0.4114)
Nd (0.5899, 0.7198, 0.4114)
Nd (0.4604, 0.9207, 0.7002)
Nd (0.5396, 0.0793, 0.2998)
Nd (0.8701, 0.2802, 0.5886)
Nd (0.4101, 0.2802, 0.5886)
Nd (0.9712, 0.3263, 0.1453)
Nd (0.3551, 0.3263, 0.1453)
Nd (0.0487, 0.0974, 0.8372)
Al (0.6809, 0.0000, 0.0000)
Al (0.3191, 0.0000, 0.0000)
In (0.2559, 0.5118, 0.7151)
In (0.3523, 0.7046, 0.0994)
In (0.0000, 0.0000, 0.5000)
In (0.6477, 0.2954, 0.9006)
In (0.7441, 0.4882, 0.2849)


# 6
Below is a geometry-optimized ErMgCd structure, with properties calculated at the PBE level.

Summary:
**E_form**: 0.125 eV per atom
**Symmetry**: No. 10

Lattice parameters (Å, degrees): 5.8503 3.4527 5.2987 90.00 90.00 52.92
Atoms (fractional coordinates):
Er (0.0000, 0.0000, 0.5000)
Mg (0.5000, 0.5000, 0.0000)
Cd (0.0000, 0.5000, 0.0000)


# 7
Below is a geometry-optimized Zn2InS structure, with properties calculated at the PBE level.

Summary:
**E_form (uncorrected)**: 1.0 eV/f.u.
**Symmetry**: No. 225

Lattice parameters (Å, degrees): 4.8612 4.8612 4.8612 60.00 60.00 60.00
Atoms (fractional coordinates):
Zn (0.2500, 0.2500, 0.2500)
Zn (0.7500, 0.7500, 0.7500)
S (0.0000, 0.0000, 0.0000)
In (0.5000, 0.5000, 0.5000)


# 8
Below is a geometry-optimized MnCBr3 structure, with properties calculated at the PBE level.

Summary:
**E_form (uncorrected)**: 5.3 eV/f.u.
**Offset from the most stable computed form**: 0 meV/atom
**Symmetry**: No. 221

Lattice parameters (Å, degrees): 4.7487 4.7487 4.7487 90.00 90.00 90.00
Atoms (fractional coordinates):
Mn (0.5000, 0.5000, 0.5000)
C (0.0000, 0.0000, 0.0000)
Br (0.0000, 0.5000, 0.0000)
Br (0.0000, 0.0000, 0.5000)
Br (0.5000, 0.0000, 0.0000)


# 9
Below is a geometry-optimized AlCr2Fe structure, with properties calculated at the PBE level.

Summary:
**Offset from the most stable computed form**: 628 meV/atom
**E_form**: 0.486 eV per atom
**Symmetry**: No. 122

Lattice parameters (Å, degrees): 6.5770 6.5770 5.2445 51.17 51.17 90.00
Atoms (fractional coordinates):
Cr (0.6708, 0.1250, 0.2500)
Cr (0.0792, 0.6250, 0.2500)
Cr (0.3750, 0.3292, 0.7500)
Cr (0.8750, 0.9208, 0.7500)
Fe (0.0000, 0.0000, 0.0000)
Fe (0.7500, 0.2500, 0.5000)
Al (0.5000, 0.5000, 0.0000)
Al (0.2500, 0.7500, 0.5000)


# 10
Below is a geometry-optimized Co2Sn2Ge structure, with properties calculated at the PBE level.

Summary:
**Offset from the most stable computed form**: 118 meV/atom
**E_form**: 0.283 eV per atom
**Symmetry**: No. 139

Lattice parameters (Å, degrees): 3.3888 3.3888 8.5775 78.61 78.61 90.00
Atoms (fractional coordinates):
Ge (0.0000, 0.0000, 0.0000)
Co (0.7500, 0.2500, 0.5000)
Co (0.2500, 0.7500, 0.5000)
Sn (0.3785, 0.3785, 0.2429)
Sn (0.6215, 0.6215, 0.7571)


Final energy readings, ordered: -16.95; -8.11; -80.02; -135.23; -81.74; -6.70; -8.45; -18.14; -59.01; -25.42 eV for the cell shown